# Ce2Zn3Ge2

A relaxed Ce2Zn3Ge2 crystal (PBE, Alexandria).

Cell and atoms, written as POSCAR:
```
Ce2Zn3Ge2
1.0
1.9254 -9.9945 0.0000
1.9254 9.9945 0.0000
0.0000 0.0000 4.0765
Ce Zn Ge
2 3 2
Direct
0.1604 0.8396 0.0000
0.8396 0.1604 0.0000
0.0000 0.0000 0.0000
0.4364 0.5636 0.5000
0.5636 0.4364 0.5000
0.2907 0.7093 0.5000
0.7093 0.2907 0.5000
```

Calculated values
Spin magnetization in μB/cell: 1.7
Energy of formation in eV per atom: -0.25
ρ in Mg/m³: 6.580
DOS at the Fermi energy in states/eV per atom: 1.84
Offset from the most stable computed form in eV/atom: 0.203